<i>
Computed, not measured: a geometry-optimized TlFeMo2 structure at the PBE level of DFT.

```
TlFeMo2
1.0
1.6300 -2.3420 0.0000
1.6300 2.3420 0.0000
0.0000 0.0000 8.8843
Tl Fe Mo
1 1 2
Cartesian
0.0000 0.0000 0.0000
1.6300 0.0000 6.5709
0.0000 0.0000 4.6205
1.6300 0.0000 2.5229
```


<ii>
Computed, not measured: a geometry-optimized TlFeMo2 structure at the PBE level of DFT.

```
TlFeMo2
1.0
3.3117 0.0000 0.0000
0.0000 3.3117 0.0000
0.0000 0.0000 6.1521
Tl Fe Mo
1 1 2
Cartesian
0.0000 0.0000 0.0000
1.6558 1.6558 1.6558
0.0000 0.0000 2.9723
1.6558 1.6558 4.2582
```


Which of them is the least stable? Correct choice: <i>.


<i>
Computed, not measured: a geometry-optimized TlFeMo2 structure at the PBE level of DFT.

```
TlFeMo2
1.0
0.0000 3.2056 3.2056
3.2056 0.0000 3.2056
3.2056 3.2056 0.0000
Tl Fe Mo
1 1 2
Cartesian
0.0000 0.0000 0.0000
3.2056 3.2056 3.2056
1.6028 1.6028 1.6028
4.8084 4.8084 4.8084
```


<ii>
Computed, not measured: a geometry-optimized TlFeMo2 structure at the PBE level of DFT.

```
TlFeMo2
1.0
2.7209 -4.5707 0.0000
2.7209 4.5707 0.0000
-0.7739 0.0000 2.6796
Tl Fe Mo
1 1 2
Cartesian
0.0000 0.0000 0.0000
2.7209 0.0000 0.0000
0.9735 2.2853 1.3398
0.9735 -2.2853 1.3398
```


Which of them is the least stable? Correct choice: <i>.


<i>
Computed, not measured: a geometry-optimized TlFeMo2 structure at the PBE level of DFT.

```
TlFeMo2
1.0
-1.9398 1.9398 4.3125
1.9398 -1.9398 4.3125
1.9398 1.9398 -4.3125
Tl Fe Mo
1 1 2
Cartesian
0.0000 0.0000 0.0000
0.0000 0.0000 4.3125
1.9398 0.0000 2.1562
0.0000 1.9398 2.1562
```


<ii>
Computed, not measured: a geometry-optimized TlFeMo2 structure at the PBE level of DFT.

```
TlFeMo2
1.0
2.8477 0.0000 0.0000
0.0000 4.1425 0.0000
-0.6161 0.0000 5.6677
Tl Fe Mo
1 1 2
Cartesian
0.0000 0.0000 0.0000
-0.3081 0.0000 2.8339
0.7877 2.0713 4.0066
1.4438 2.0713 1.6612
```


<iii>
Computed, not measured: a geometry-optimized TlFeMo2 structure at the PBE level of DFT.

```
TlFeMo2
1.0
1.4574 0.8414 9.0735
-1.4574 0.8414 9.0735
0.0000 -1.6829 9.0735
Tl Fe Mo
1 1 2
Cartesian
0.0000 0.0000 0.0000
0.0000 0.0000 13.6103
0.0000 0.0000 6.5482
0.0000 0.0000 20.6724
```


Which of them is the least stable? Correct choice: <iii>.


<i>
Computed, not measured: a geometry-optimized TlFeMo2 structure at the PBE level of DFT.

```
TlFeMo2
1.0
3.2887 0.0000 0.0000
0.0000 3.2887 0.0000
0.0000 0.0000 6.2608
Tl Fe Mo
1 1 2
Cartesian
0.0000 0.0000 0.0000
0.0000 0.0000 3.1304
1.6443 1.6443 1.9231
1.6443 1.6443 4.3377
```


<ii>
Computed, not measured: a geometry-optimized TlFeMo2 structure at the PBE level of DFT.

```
TlFeMo2
1.0
1.5530 0.8966 8.3907
-1.5530 0.8966 8.3907
0.0000 -1.7933 8.3907
Tl Fe Mo
1 1 2
Cartesian
0.0000 0.0000 0.0000
0.0000 0.0000 19.0156
0.0000 0.0000 5.9171
0.0000 0.0000 12.4531
```


<iii>
Computed, not measured: a geometry-optimized TlFeMo2 structure at the PBE level of DFT.

```
TlFeMo2
1.0
-1.6887 2.2741 4.3100
1.6887 -2.2741 4.3100
1.6887 2.2741 -4.3100
Tl Fe Mo
1 1 2
Cartesian
0.0000 0.0000 0.0000
1.6887 0.0000 2.1966
0.0000 0.0000 4.2352
0.0000 2.2741 1.9372
```


Which of them is the least stable? Correct choice: <ii>.


<i>
Computed, not measured: a geometry-optimized Tl3FeMo structure at the PBE level of DFT.

```
Tl3FeMo
1.0
5.0984 0.0000 0.0000
0.0000 5.0984 0.0000
0.0000 0.0000 5.0984
Tl Fe Mo
3 1 1
Cartesian
0.0000 0.0000 2.5492
0.0000 2.5492 0.0000
2.5492 0.0000 0.0000
0.0000 0.0000 0.0000
2.5492 2.5492 2.5492
```


<ii>
Computed, not measured: a geometry-optimized Tl3FeMo structure at the PBE level of DFT.

```
Tl3FeMo
1.0
5.3818 0.0000 0.0000
0.0000 5.3818 0.0000
0.0000 0.0000 5.3818
Tl Fe Mo
3 1 1
Cartesian
0.0000 0.0000 2.6909
0.0000 2.6909 0.0000
2.6909 0.0000 0.0000
2.6909 2.6909 2.6909
0.0000 0.0000 0.0000
```


Which of them is the least stable? Correct choice: <ii>.


<i>
Computed, not measured: a geometry-optimized TmFe4Mo structure at the PBE level of DFT.

```
TmFe4Mo
1.0
0.0000 3.4683 3.4683
3.4683 0.0000 3.4683
3.4683 3.4683 0.0000
Tm Fe Mo
1 4 1
Cartesian
0.0000 0.0000 0.0000
2.6066 2.6066 2.6066
4.3299 4.3299 2.6066
4.3299 2.6066 4.3299
2.6066 4.3299 4.3299
5.2024 5.2024 5.2024
```


<ii>
Computed, not measured: a geometry-optimized TmFe4Mo structure at the PBE level of DFT.

```
TmFe4Mo
1.0
4.8851 0.0000 0.0000
-2.4426 4.2306 0.0000
0.0000 0.0000 8.0856
Tm Fe Mo
2 8 2
Cartesian
0.0000 2.8204 3.4507
2.4426 1.4102 4.6349
0.0000 0.0000 0.0000
0.0000 0.0000 4.0428
0.0000 1.4200 6.1716
-1.2128 3.5207 6.1716
1.2297 0.7100 1.9139
1.2128 3.5207 6.1716
3.6554 0.7100 1.9139
2.4426 2.8107 1.9139
0.0000 2.8204 0.3681
2.4426 1.4102 7.7175
```


Which of them is the least stable? Correct choice: <i>.


<i>
Computed, not measured: a geometry-optimized UFeMo structure at the PBE level of DFT.

```
UFeMo
1.0
4.6208 0.0000 0.0000
0.0000 7.8889 0.0000
-1.4775 0.0000 5.5403
U Fe Mo
4 4 4
Cartesian
-0.5186 0.0000 2.3750
1.5790 4.1652 0.6024
1.5642 0.2208 4.9379
3.6619 3.9445 3.1653
-0.5497 6.6930 4.1807
1.8320 7.1796 0.9943
1.3113 3.2352 4.5460
3.6929 2.7486 1.3596
-0.9762 1.3911 5.2364
1.3811 1.6311 2.4306
1.7622 5.5755 3.1097
4.1194 5.3356 0.3039
```


<ii>
Computed, not measured: a geometry-optimized UFeMo structure at the PBE level of DFT.

```
UFeMo
1.0
4.3919 0.0000 0.0000
-2.1960 3.8035 0.0000
0.0000 0.0000 2.8191
U Fe Mo
1 1 1
Cartesian
0.0000 0.0000 0.0000
2.1960 1.2678 0.7262
0.0000 2.5357 2.0967
```


Which of them is the least stable? Correct choice: <ii>.


<i>
Computed, not measured: a geometry-optimized VFeMo structure at the PBE level of DFT.

```
VFeMo
1.0
4.2678 0.0000 0.0000
-2.1339 3.6960 0.0000
0.0000 0.0000 2.5667
V Fe Mo
1 1 1
Cartesian
0.0000 0.0000 0.0000
2.1339 1.2320 1.7276
0.0000 2.4640 0.8767
```


<ii>
Computed, not measured: a geometry-optimized VFeMo structure at the PBE level of DFT.

```
VFeMo
1.0
3.5480 0.0000 0.0000
-1.7740 3.0727 0.0000
0.0000 0.0000 8.6955
V Fe Mo
2 2 2
Cartesian
0.0000 2.0484 0.9131
1.7740 1.0242 7.7824
0.0000 2.0484 6.8396
1.7740 1.0242 1.8559
0.0000 0.0000 3.0588
0.0000 0.0000 5.6367
```


<iii>
Computed, not measured: a geometry-optimized VFeMo structure at the PBE level of DFT.

```
VFeMo
1.0
-1.5106 1.5106 4.4288
1.5106 -1.5106 4.4288
1.5106 1.5106 -4.4288
V Fe Mo
1 1 1
Cartesian
0.0000 0.0000 0.0000
0.0000 0.0000 3.0348
0.0000 0.0000 5.9566
```


<iv>
Computed, not measured: a geometry-optimized VFeMo structure at the PBE level of DFT.

```
VFeMo
1.0
4.2294 0.0000 0.0000
-2.1147 3.6628 0.0000
0.0000 0.0000 5.2148
V Fe Mo
2 2 2
Cartesian
0.0000 2.4418 0.4509
2.1147 1.2209 4.7639
0.0000 2.4418 3.0605
2.1147 1.2209 2.1543
0.0000 0.0000 1.3031
0.0000 0.0000 3.9117
```


Which of them is the least stable? Correct choice: <ii>.